ZrCu4Au, optimized geometry, DFT PBE-GGA; total DFT energy (no corrections) = -4.969 eV/atom; space-group type = F-43m; energy relative to the elements = -267 meV per atom; crystal system = cubic
1.0
-2.174 -3.031 -3.252
2.306 -1.166 -4.221
1.759 -4.576 -0.676
Au Cu Zr
1 4 1
direct
0.000 0.000 0.000
0.124 0.625 0.625
0.625 0.625 0.625
0.625 0.124 0.625
0.625 0.625 0.124
0.250 0.250 0.250